Record 1
Crystalline Rb3H2OsO6 at its relaxed geometry, computed with PBE-GGA.

The structure in POSCAR format:
```
Rb3H2OsO6
1.0
6.549 0.000 0.000
0.000 9.410 0.000
-3.009 0.000 5.978
Rb H Os O
6 4 2 12
direct
0.005 0.250 0.084 Rb
0.244 0.569 0.509 Rb
0.244 0.931 0.509 Rb
0.756 0.069 0.491 Rb
0.756 0.431 0.491 Rb
0.995 0.750 0.916 Rb
0.288 0.026 0.987 H
0.288 0.474 0.987 H
0.712 0.526 0.013 H
0.712 0.974 0.013 H
0.398 0.250 0.826 Os
0.602 0.750 0.174 Os
0.165 0.250 0.544 O
0.186 0.082 0.854 O
0.186 0.418 0.854 O
0.422 0.610 0.206 O
0.422 0.890 0.206 O
0.484 0.750 0.875 O
0.516 0.250 0.125 O
0.578 0.110 0.794 O
0.578 0.390 0.794 O
0.814 0.582 0.146 O
0.814 0.918 0.146 O
0.835 0.750 0.456 O
```

energy = -132.8 eV/cell
size of the total moment = 0.084 μB per atom



Record 2
Crystalline Tl3H2OsO6 at its relaxed geometry, computed with PBE-GGA.

The structure in POSCAR format:
```
Tl3H2OsO6
1.0
6.483 0.000 0.000
0.000 9.252 0.000
-2.806 0.000 5.892
Tl H Os O
6 4 2 12
direct
0.026 0.070 0.251 Tl
0.026 0.430 0.251 Tl
0.429 0.250 0.990 Tl
0.571 0.750 0.010 Tl
0.974 0.570 0.749 Tl
0.974 0.930 0.749 Tl
0.490 0.522 0.280 H
0.490 0.978 0.280 H
0.510 0.022 0.720 H
0.510 0.478 0.720 H
0.329 0.750 0.403 Os
0.671 0.250 0.597 Os
0.040 0.750 0.183 O
0.301 0.605 0.586 O
0.301 0.895 0.586 O
0.356 0.585 0.189 O
0.356 0.915 0.189 O
0.361 0.250 0.487 O
0.639 0.750 0.513 O
0.644 0.085 0.811 O
0.644 0.415 0.811 O
0.699 0.105 0.414 O
0.699 0.395 0.414 O
0.960 0.250 0.817 O
```

energy = -130.9 eV/cell
size of the total moment = 0.083 μB per atom



Record 3
Crystalline PrP3H10O14 at its relaxed geometry, computed with PBE-GGA.

The structure in POSCAR format:
```
PrP3H10O14
1.0
7.300 0.000 0.000
3.511 8.072 0.000
1.536 1.375 9.190
Pr P H O
2 6 20 28
direct
0.060 0.260 0.270 Pr
0.940 0.740 0.730 Pr
0.137 0.276 0.879 P
0.148 0.071 0.661 P
0.497 0.138 0.690 P
0.503 0.862 0.310 P
0.852 0.929 0.339 P
0.863 0.724 0.121 P
0.198 0.867 0.928 H
0.224 0.960 0.046 H
0.238 0.501 0.321 H
0.275 0.369 0.463 H
0.350 0.488 0.613 H
0.350 0.677 0.115 H
0.367 0.664 0.562 H
0.376 0.399 0.127 H
0.480 0.475 0.791 H
0.485 0.217 0.079 H
0.515 0.783 0.921 H
0.520 0.525 0.209 H
0.624 0.601 0.873 H
0.633 0.336 0.438 H
0.650 0.323 0.885 H
0.650 0.512 0.387 H
0.725 0.631 0.537 H
0.762 0.499 0.679 H
0.776 0.040 0.954 H
0.802 0.133 0.072 H
0.055 0.221 0.757 O
0.065 0.141 0.518 O
0.076 0.461 0.850 O
0.080 0.195 0.025 O
0.127 0.914 0.745 O
0.178 0.428 0.390 O
0.284 0.855 0.004 O
0.295 0.973 0.279 O
0.303 0.602 0.639 O
0.357 0.293 0.125 O
0.377 0.188 0.844 O
0.386 0.030 0.647 O
0.387 0.563 0.175 O
0.463 0.292 0.577 O
0.537 0.708 0.423 O
0.613 0.437 0.825 O
0.614 0.970 0.353 O
0.623 0.812 0.156 O
0.643 0.707 0.875 O
0.697 0.398 0.361 O
0.705 0.027 0.721 O
0.716 0.145 0.996 O
0.822 0.572 0.610 O
0.873 0.086 0.255 O
0.920 0.805 0.975 O
0.924 0.539 0.150 O
0.935 0.859 0.482 O
0.945 0.779 0.243 O
```

energy = -343.1 eV/cell
size of the total moment = 0.000 μB per atom



Record 4
Crystalline Zn6P4H14O23 at its relaxed geometry, computed with PBE-GGA.

The structure in POSCAR format:
```
Zn6P4H14O23
1.0
8.218 0.000 0.000
1.773 9.203 0.000
1.818 3.435 11.480
Zn P H O
12 8 28 46
direct
0.029 0.137 0.390 Zn
0.072 0.611 0.882 Zn
0.146 0.328 0.757 Zn
0.312 0.408 0.495 Zn
0.425 0.114 0.385 Zn
0.465 0.606 0.878 Zn
0.535 0.394 0.122 Zn
0.575 0.886 0.615 Zn
0.688 0.592 0.505 Zn
0.854 0.672 0.243 Zn
0.928 0.389 0.118 Zn
0.971 0.863 0.610 Zn
0.177 0.441 0.282 P
0.203 0.090 0.627 P
0.301 0.290 0.975 P
0.330 0.637 0.636 P
0.670 0.363 0.364 P
0.699 0.710 0.025 P
0.797 0.910 0.373 P
0.823 0.559 0.718 P
0.050 0.872 0.086 H
0.057 0.906 0.791 H
0.137 0.142 0.161 H
0.155 0.787 0.191 H
0.213 0.012 0.897 H
0.231 0.778 0.982 H
0.246 0.601 0.058 H
0.255 0.878 0.451 H
0.265 0.010 0.019 H
0.307 0.901 0.316 H
0.322 0.680 0.292 H
0.373 0.905 0.787 H
0.438 0.134 0.158 H
0.462 0.765 0.202 H
0.538 0.235 0.798 H
0.562 0.866 0.842 H
0.627 0.095 0.213 H
0.678 0.320 0.708 H
0.693 0.099 0.684 H
0.735 0.990 0.981 H
0.745 0.122 0.549 H
0.754 0.399 0.942 H
0.769 0.222 0.018 H
0.787 0.988 0.103 H
0.845 0.213 0.809 H
0.863 0.858 0.839 H
0.943 0.094 0.209 H
0.950 0.128 0.914 H
0.001 0.521 0.758 O
0.024 0.167 0.205 O
0.044 0.797 0.164 O
0.062 0.061 0.570 O
0.127 0.389 0.986 O
0.179 0.263 0.615 O
0.191 0.537 0.364 O
0.191 0.747 0.567 O
0.200 0.997 0.757 O
0.205 0.270 0.350 O
0.209 0.956 0.981 O
0.232 0.673 0.977 O
0.278 0.959 0.376 O
0.296 0.626 0.767 O
0.303 0.476 0.175 O
0.308 0.142 0.079 O
0.325 0.248 0.859 O
0.346 0.780 0.240 O
0.349 0.475 0.623 O
0.373 0.046 0.564 O
0.441 0.378 0.976 O
0.488 0.840 0.791 O
0.498 0.697 0.587 O
0.502 0.303 0.413 O
0.512 0.160 0.209 O
0.559 0.622 0.024 O
0.627 0.954 0.436 O
0.651 0.525 0.377 O
0.654 0.220 0.760 O
0.675 0.752 0.141 O
0.692 0.858 0.921 O
0.697 0.524 0.825 O
0.704 0.374 0.233 O
0.722 0.041 0.624 O
0.768 0.327 0.023 O
0.791 0.044 0.019 O
0.795 0.730 0.650 O
0.800 0.003 0.243 O
0.809 0.253 0.433 O
0.809 0.463 0.636 O
0.821 0.737 0.385 O
0.873 0.611 0.014 O
0.938 0.939 0.430 O
0.956 0.203 0.836 O
0.976 0.833 0.795 O
0.999 0.479 0.242 O
```

energy = -523.9 eV/cell



Record 5
Crystalline Zn3P2H8O12 at its relaxed geometry, computed with PBE-GGA.

The structure in POSCAR format:
```
Zn3P2H8O12
1.0
10.500 0.000 0.000
0.000 18.319 0.000
0.000 0.000 4.889
Zn P H O
12 8 32 48
direct
0.140 0.001 0.223 Zn
0.140 0.499 0.223 Zn
0.244 0.750 0.581 Zn
0.256 0.250 0.081 Zn
0.360 0.501 0.723 Zn
0.360 0.999 0.723 Zn
0.640 0.001 0.277 Zn
0.640 0.499 0.277 Zn
0.744 0.750 0.919 Zn
0.756 0.250 0.419 Zn
0.860 0.501 0.777 Zn
0.860 0.999 0.777 Zn
0.104 0.598 0.731 P
0.104 0.902 0.731 P
0.396 0.098 0.231 P
0.396 0.402 0.231 P
0.604 0.598 0.769 P
0.604 0.902 0.769 P
0.896 0.098 0.269 P
0.896 0.402 0.269 P
0.012 0.250 0.286 H
0.106 0.140 0.946 H
0.106 0.360 0.946 H
0.106 0.709 0.148 H
0.106 0.791 0.148 H
0.107 0.250 0.535 H
0.236 0.137 0.783 H
0.236 0.363 0.783 H
0.264 0.637 0.283 H
0.264 0.863 0.283 H
0.393 0.750 0.035 H
0.394 0.209 0.648 H
0.394 0.291 0.648 H
0.394 0.640 0.446 H
0.394 0.860 0.446 H
0.488 0.750 0.786 H
0.512 0.250 0.214 H
0.606 0.140 0.554 H
0.606 0.360 0.554 H
0.606 0.709 0.352 H
0.606 0.791 0.352 H
0.607 0.250 0.965 H
0.736 0.137 0.717 H
0.736 0.363 0.717 H
0.764 0.637 0.217 H
0.764 0.863 0.217 H
0.893 0.750 0.465 H
0.894 0.209 0.852 H
0.894 0.291 0.852 H
0.894 0.640 0.054 H
0.894 0.860 0.054 H
0.988 0.750 0.714 H
0.030 0.081 0.150 O
0.030 0.419 0.150 O
0.097 0.750 0.277 O
0.103 0.250 0.334 O
0.108 0.588 0.417 O
0.108 0.912 0.417 O
0.143 0.674 0.816 O
0.143 0.826 0.816 O
0.166 0.170 0.833 O
0.166 0.330 0.833 O
0.195 0.538 0.861 O
0.195 0.962 0.861 O
0.305 0.038 0.361 O
0.305 0.462 0.361 O
0.334 0.670 0.333 O
0.334 0.830 0.333 O
0.357 0.174 0.316 O
0.357 0.326 0.316 O
0.392 0.088 0.917 O
0.392 0.412 0.917 O
0.397 0.750 0.834 O
0.403 0.250 0.777 O
0.470 0.581 0.650 O
0.470 0.919 0.650 O
0.530 0.081 0.350 O
0.530 0.419 0.350 O
0.597 0.750 0.223 O
0.603 0.250 0.166 O
0.608 0.588 0.083 O
0.608 0.912 0.083 O
0.643 0.674 0.684 O
0.643 0.826 0.684 O
0.666 0.170 0.667 O
0.666 0.330 0.667 O
0.695 0.538 0.639 O
0.695 0.962 0.639 O
0.805 0.038 0.139 O
0.805 0.462 0.139 O
0.834 0.670 0.167 O
0.834 0.830 0.167 O
0.857 0.174 0.184 O
0.857 0.326 0.184 O
0.892 0.088 0.583 O
0.892 0.412 0.583 O
0.897 0.750 0.666 O
0.903 0.250 0.723 O
0.970 0.581 0.850 O
0.970 0.919 0.850 O
```

energy = -552.4 eV/cell
excess energy over the best structure of this formula in the dataset = 0 meV/atom



Record 6
Crystalline Zn2PHO5 at its relaxed geometry, computed with PBE-GGA.

The structure in POSCAR format:
```
Zn2PHO5
1.0
7.987 0.000 0.000
0.000 8.323 0.000
0.000 0.000 5.975
Zn P H O
8 4 4 20
direct
0.000 0.000 0.247 Zn
0.000 0.000 0.753 Zn
0.137 0.364 0.000 Zn
0.363 0.864 0.500 Zn
0.500 0.500 0.253 Zn
0.500 0.500 0.747 Zn
0.637 0.136 0.500 Zn
0.863 0.636 0.000 Zn
0.248 0.243 0.500 P
0.252 0.743 0.000 P
0.748 0.257 0.000 P
0.752 0.757 0.500 P
0.232 0.078 0.000 H
0.268 0.578 0.500 H
0.732 0.422 0.500 H
0.768 0.922 0.000 H
0.076 0.155 0.500 O
0.115 0.611 0.000 O
0.120 0.124 0.000 O
0.233 0.852 0.209 O
0.233 0.852 0.791 O
0.267 0.352 0.291 O
0.267 0.352 0.709 O
0.380 0.624 0.500 O
0.385 0.111 0.500 O
0.424 0.655 0.000 O
0.576 0.345 0.000 O
0.615 0.889 0.500 O
0.620 0.376 0.500 O
0.733 0.648 0.291 O
0.733 0.648 0.709 O
0.767 0.148 0.209 O
0.767 0.148 0.791 O
0.880 0.876 0.000 O
0.885 0.389 0.000 O
0.924 0.845 0.500 O
```

energy = -206.3 eV/cell



Record 7
Crystalline ZnPH3O5 at its relaxed geometry, computed with PBE-GGA.

The structure in POSCAR format:
```
ZnPH3O5
1.0
6.354 0.000 0.000
1.198 7.479 0.000
1.780 3.170 11.606
Zn P H O
6 6 18 30
direct
0.004 0.080 0.304 Zn
0.140 0.673 0.944 Zn
0.348 0.888 0.091 Zn
0.652 0.112 0.909 Zn
0.860 0.327 0.056 Zn
0.996 0.920 0.696 Zn
0.146 0.135 0.863 P
0.320 0.689 0.369 P
0.350 0.290 0.117 P
0.650 0.710 0.883 P
0.680 0.311 0.631 P
0.854 0.865 0.137 P
0.001 0.788 0.518 H
0.170 0.514 0.770 H
0.177 0.314 0.387 H
0.270 0.006 0.509 H
0.292 0.292 0.690 H
0.346 0.656 0.753 H
0.358 0.510 0.218 H
0.361 0.407 0.503 H
0.373 0.051 0.604 H
0.627 0.949 0.396 H
0.639 0.593 0.497 H
0.642 0.490 0.782 H
0.654 0.344 0.247 H
0.708 0.708 0.310 H
0.730 0.994 0.491 H
0.823 0.686 0.613 H
0.830 0.486 0.230 H
0.999 0.212 0.482 H
0.066 0.811 0.069 O
0.103 0.202 0.411 O
0.135 0.829 0.398 O
0.140 0.965 0.820 O
0.160 0.409 0.055 O
0.169 0.310 0.754 O
0.191 0.640 0.776 O
0.267 0.489 0.440 O
0.288 0.095 0.180 O
0.303 0.953 0.590 O
0.330 0.105 0.937 O
0.347 0.687 0.242 O
0.388 0.369 0.220 O
0.443 0.708 0.965 O
0.465 0.276 0.598 O
0.535 0.724 0.402 O
0.557 0.292 0.035 O
0.612 0.631 0.780 O
0.653 0.313 0.758 O
0.670 0.895 0.063 O
0.697 0.047 0.410 O
0.712 0.905 0.820 O
0.733 0.511 0.560 O
0.809 0.360 0.224 O
0.831 0.690 0.246 O
0.840 0.591 0.945 O
0.860 0.035 0.180 O
0.865 0.171 0.602 O
0.897 0.798 0.589 O
0.934 0.189 0.931 O
```

energy = -342.4 eV/cell